This record from the Alexandria database describes a geometry-optimized Mg3ZrRe structure. The functional is PBE.

a b c (Å): 4.936 4.936 4.936
angles (deg): 90.00 90.00 90.00
Fractional coordinates of all 5 atoms:
Mg  0.000  0.000  0.500
Mg  0.000  0.500  0.000
Mg  0.500  0.000  0.000
Zr  0.500  0.500  0.500
Re  0.000  0.000  0.000

Values from the calculation:
E, eV/cell: -20.52
V, Å³/cell: 120.3
Magnetization, μB/f.u.: 0.0
Offset from the most stable computed form, meV per atom: 0
Theoretical density, g/cm³: 4.84
Formation energy from the elements, eV/atom: 1.0518
DOS(E_F), states/eV/cell: 6.13

This record from the Alexandria database describes a geometry-optimized SmYU2P4 structure. The functional is PBE.

a b c (Å): 6.879 3.973 7.000
angles (deg): 90.00 109.14 90.00
Fractional coordinates of all 8 atoms:
Sm  0.000  0.000  0.000
Y  0.500  0.500  0.000
U  0.000  0.500  0.500
U  0.500  0.000  0.500
P  0.250  0.000  0.742
P  0.256  0.500  0.260
P  0.744  0.500  0.740
P  0.750  0.000  0.258

Values from the calculation:
E, eV/cell: -65.67
V, Å³/cell: 180.7
Magnetization, μB/f.u.: 4.6
Theoretical density, g/cm³: 7.71
Formation energy from the elements, eV/atom: -1.2844
DOS(E_F), states/eV/cell: 9.02

This record from the Alexandria database describes a geometry-optimized Mg3Ga2Pd2 structure. The functional is PBE.

a b c (Å): 4.468 4.468 7.549
angles (deg): 107.28 107.28 59.58
Fractional coordinates of all 7 atoms:
Mg  0.000  0.000  0.000
Mg  0.133  0.133  0.402
Mg  0.867  0.867  0.598
Ga  0.400  0.400  0.201
Ga  0.600  0.600  0.799
Pd  0.265  0.265  0.793
Pd  0.735  0.735  0.207

Values from the calculation:
E, eV/cell: -25.00
V, Å³/cell: 122.1
Magnetization, μB/f.u.: 0.0
Theoretical density, g/cm³: 5.78
Formation energy from the elements, eV/atom: -0.5399
DOS(E_F), states/eV/cell: 1.14

Look up the E of the second one. -65.67 eV/cell